1.
DFT (PBE-GGA) results for crystalline NbGaMo3 at its relaxed geometry.

Output
* DFT formation energy: 1.383 eV/atom
* space-group type: Pm-3m, No. 221
* relative energy among the computed polymorphs: 0 meV/atom

Geometry as POSCAR:
```
NbGaMo3
1.0
4.570 0.000 0.000
0.000 4.570 0.000
0.000 0.000 4.570
Mo Ga Nb
3 1 1
direct
0.000 0.500 0.000 Mo
0.500 0.000 0.000 Mo
0.000 0.000 0.500 Mo
0.000 0.000 0.000 Ga
0.500 0.500 0.500 Nb
```



2.
DFT (PBE-GGA) results for crystalline LiHgAu3 at its relaxed geometry.

Output
* DFT formation energy: -0.079 eV/atom
* space-group type: P2_1/m, No. 11
* relative energy among the computed polymorphs: 130 meV/atom

Geometry as POSCAR:
```
LiHgAu3
1.0
-1.679 4.431 -1.286
1.307 -1.728 -7.659
-4.995 -2.002 -0.401
Li Au Hg
2 6 2
direct
0.751 0.750 0.232 Li
0.249 0.250 0.768 Li
0.250 0.922 0.009 Au
0.251 0.750 0.483 Au
0.250 0.578 0.009 Au
0.750 0.078 0.991 Au
0.749 0.250 0.517 Au
0.750 0.422 0.991 Au
0.250 0.250 0.267 Hg
0.750 0.750 0.733 Hg
```